VASP calculation (GGA-PBE) on a geometry-optimized KRePS2 structure.

Output
Polymorph energy (0 for the lowest one) = 2.782 eV per atom
Uncorrected formation energy = 13.54 eV/f.u.
Crystal system = tetragonal

Unit cell a=5.023 b=5.023 c=4.922 alpha=90.00 beta=90.00 gamma=90.00
Fractional positions:
1 K 0.000 0.000 0.000
2 Re 0.500 0.500 0.500
3 P 0.000 0.000 0.500
4 S 0.000 0.500 0.000
5 S 0.500 0.000 0.000